1.
RbNb3Pb | PBE | optimized geometry

Output
The value obtained for the energy above the most stable polymorph in this dataset is 0.0 kJ per mole of atoms. The calculation puts the total moment at 0.00 μB/f.u. The value obtained for the energy relative to the elements is 10.391 eV/f.u. The calculation puts the total energy at -24.49 eV/f.u. As for the density of states at the Fermi level: 5.7 states/eV/cell.

a b c (Å): 5.373 5.373 5.373
angles (deg): 90.00 90.00 90.00
Space group Pm-3m (No. 221)
One atom of each set of equivalent atoms:
Rb (0.000, 0.000, 0.000) x1
Nb (0.000, 0.500, 0.500) x3
Pb (0.500, 0.500, 0.500) x1

***

2.
Rb2NbPb | PBE | optimized geometry

Output
The calculation puts the total moment at 3.03 μB/f.u. The value obtained for the energy relative to the elements is 3.580 eV/f.u. The calculation puts the total energy at -12.13 eV/f.u. As for the density of states at the Fermi level: 4.7 states/eV/cell.

a b c (Å): 13.625 13.625 5.586
angles (deg): 90.00 90.00 90.00
Space group I-42d (No. 122)
One atom of each set of equivalent atoms:
Rb (0.081, 0.250, 0.125) x8
Nb (0.000, 0.000, 0.500) x4
Pb (0.000, 0.000, 0.000) x4

***

3.
RbNbPb2 | PBE | optimized geometry

Output
The value obtained for the energy above the most stable polymorph in this dataset is 12.7 kJ per mole of atoms. The calculation puts the total moment at 2.92 μB/f.u. The value obtained for the energy relative to the elements is 2.799 eV/f.u. The calculation puts the total energy at -15.66 eV/f.u. As for the density of states at the Fermi level: 14.3 states/eV/cell.

a b c (Å): 7.756 7.756 7.756
angles (deg): 90.00 90.00 90.00
Space group Fm-3m (No. 225)
One atom of each set of equivalent atoms:
Rb (0.000, 0.000, 0.000) x4
Nb (0.000, 0.000, 0.500) x4
Pb (0.250, 0.250, 0.250) x8

***

4.
RbNb2Pb2 | PBE | optimized geometry

Output
The value obtained for the energy above the most stable polymorph in this dataset is 0.0 kJ per mole of atoms. The calculation puts the total moment at 0.00 μB/f.u. The value obtained for the energy relative to the elements is 1.356 eV/f.u. The calculation puts the total energy at -27.17 eV/f.u. As for the density of states at the Fermi level: 7.8 states/eV/cell.

a b c (Å): 3.782 3.782 20.860
angles (deg): 90.00 90.00 90.00
Space group I4/mmm (No. 139)
One atom of each set of equivalent atoms:
Rb (0.000, 0.000, 0.000) x2
Nb (0.000, 0.500, 0.250) x4
Pb (0.000, 0.000, 0.368) x4

***

5.
RbNb2Pb2 | PBE | optimized geometry

Output
The value obtained for the energy above the most stable polymorph in this dataset is 17.7 kJ per mole of atoms. The calculation puts the total moment at 0.00 μB/f.u. The value obtained for the energy relative to the elements is 2.271 eV/f.u. The calculation puts the total energy at -26.25 eV/f.u. As for the density of states at the Fermi level: 11.8 states/eV/cell.

a b c (Å): 9.312 9.312 3.068
angles (deg): 90.00 90.00 90.00
Space group P4/mbm (No. 127)
One atom of each set of equivalent atoms:
Rb (0.000, 0.000, 0.000) x2
Nb (0.100, 0.400, 0.500) x4
Pb (0.180, 0.680, 0.000) x4

***

6.
Rb2NbPb2 | PBE | optimized geometry

Output
The value obtained for the energy above the most stable polymorph in this dataset is 38.1 kJ per mole of atoms. The calculation puts the total moment at 2.06 μB/f.u. The value obtained for the energy relative to the elements is 4.093 eV/f.u. The calculation puts the total energy at -15.33 eV/f.u. As for the density of states at the Fermi level: 6.9 states/eV/cell.

a b c (Å): 4.327 4.327 17.045
angles (deg): 90.00 90.00 90.00
Space group I4/mmm (No. 139)
One atom of each set of equivalent atoms:
Rb (0.000, 0.500, 0.250) x4
Nb (0.000, 0.000, 0.000) x2
Pb (0.000, 0.000, 0.415) x4

***

7.
RbNb2Pb | PBE | optimized geometry

Output
The calculation puts the total moment at 0.00 μB/f.u. The value obtained for the energy relative to the elements is 6.350 eV/f.u. The calculation puts the total energy at -18.47 eV/f.u. As for the density of states at the Fermi level: 38.2 states/eV/cell.

a b c (Å): 8.598 8.598 5.991
angles (deg): 90.00 90.00 90.00
Space group I-42d (No. 122)
One atom of each set of equivalent atoms:
Rb (0.000, 0.000, 0.000) x4
Nb (0.207, 0.250, 0.625) x8
Pb (0.000, 0.000, 0.500) x4

***

8.
RbNb3Pb | PBE | optimized geometry

Output
The value obtained for the energy above the most stable polymorph in this dataset is 46.2 kJ per mole of atoms. The calculation puts the total moment at 0.00 μB/f.u. The value obtained for the energy relative to the elements is 12.784 eV/f.u. The calculation puts the total energy at -22.10 eV/f.u. As for the density of states at the Fermi level: 5.1 states/eV/cell.

a b c (Å): 4.883 4.883 4.883
angles (deg): 90.00 90.00 90.00
Space group Pm-3m (No. 221)
One atom of each set of equivalent atoms:
Rb (0.000, 0.000, 0.000) x1
Nb (0.000, 0.000, 0.500) x3
Pb (0.500, 0.500, 0.500) x1

***

9.
Rb2NbPb2S6 | PBE | optimized geometry

Output
The calculation puts the total moment at 0.00 μB/f.u. The calculation puts the total energy at -53.15 eV/f.u. As for the density of states at the Fermi level: 8.9 states/eV/cell. The value obtained for the uncorrected formation energy is -0.81 eV per atom.

a b c (Å): 7.031 11.922 8.142
angles (deg): 90.00 107.92 90.00
Space group C2/m (No. 12)
One atom of each set of equivalent atoms:
Rb (0.000, 0.175, 0.000) x4
Nb (0.000, 0.000, 0.500) x2
Pb (0.000, 0.332, 0.500) x4
S (0.215, 0.147, 0.688) x8
S (0.224, 0.000, 0.315) x4

***

10.
RbNbPbS4 | PBE | optimized geometry

Output
The calculation puts the total moment at 0.00 μB/f.u. The calculation puts the total energy at -37.75 eV/f.u. As for the density of states at the Fermi level: 0.0 states/eV/cell. The value obtained for the uncorrected formation energy is -0.93 eV per atom.

a b c (Å): 7.080 7.167 9.052
angles (deg): 90.00 106.80 90.00
Space group P2_1/m (No. 11)
One atom of each set of equivalent atoms:
Rb (0.233, 0.250, 0.437) x2
Nb (0.275, 0.750, 0.175) x2
Pb (0.265, 0.250, 0.947) x2
S (0.073, 0.750, 0.928) x2
S (0.081, 0.750, 0.339) x2
S (0.485, 0.001, 0.213) x4

***

11.
Rb2NbPb2Se6 | PBE | optimized geometry

Output
The calculation puts the total moment at 0.00 μB/f.u. The calculation puts the total energy at -48.73 eV/f.u. As for the density of states at the Fermi level: 10.6 states/eV/cell. The value obtained for the uncorrected formation energy is -0.76 eV per atom.

a b c (Å): 7.297 12.415 8.490
angles (deg): 90.00 108.14 90.00
Space group C2/m (No. 12)
One atom of each set of equivalent atoms:
Rb (0.000, 0.176, 0.000) x4
Nb (0.000, 0.000, 0.500) x2
Pb (0.000, 0.331, 0.500) x4
Se (0.219, 0.147, 0.692) x8
Se (0.225, 0.000, 0.313) x4

***

12.
RbNbPbSe4 | PBE | optimized geometry

Output
The calculation puts the total moment at 0.00 μB/f.u. The calculation puts the total energy at -34.45 eV/f.u. As for the density of states at the Fermi level: 0.0 states/eV/cell. The value obtained for the uncorrected formation energy is -0.82 eV per atom.

a b c (Å): 7.239 7.393 9.405
angles (deg): 90.00 106.99 90.00
Space group P2_1/m (No. 11)
One atom of each set of equivalent atoms:
Rb (0.239, 0.250, 0.434) x2
Nb (0.287, 0.750, 0.180) x2
Pb (0.255, 0.250, 0.936) x2
Se (0.082, 0.750, 0.928) x2
Se (0.088, 0.750, 0.347) x2
Se (0.494, 0.506, 0.783) x4

***

13.
RbNbTe2Pb | PBE | optimized geometry

Output
The calculation puts the total moment at 0.00 μB/f.u. The calculation puts the total energy at -22.02 eV/f.u. As for the density of states at the Fermi level: 3.2 states/eV/cell. The value obtained for the uncorrected formation energy is -0.20 eV per atom.

a b c (Å): 5.573 5.573 5.583
angles (deg): 90.00 90.00 90.00
Space group P4/mmm (No. 123)
One atom of each set of equivalent atoms:
Rb (0.000, 0.000, 0.000) x1
Nb (0.500, 0.500, 0.500) x1
Te (0.000, 0.500, 0.500) x2
Pb (0.500, 0.500, 0.000) x1

***

14.
Rb2NbTe4Pb | PBE | optimized geometry

Output
The calculation puts the total moment at 1.02 μB/f.u. The calculation puts the total energy at -32.52 eV/f.u. As for the density of states at the Fermi level: 5.1 states/eV/cell. The value obtained for the uncorrected formation energy is -0.53 eV per atom.

a b c (Å): 8.830 8.830 9.251
angles (deg): 90.00 90.00 90.00
Space group I-4 (No. 82)
One atom of each set of equivalent atoms:
Rb (0.000, 0.000, 0.000) x2
Rb (0.000, 0.500, 0.250) x2
Nb (0.000, 0.500, 0.750) x2
Te (0.161, 0.701, 0.602) x8
Pb (0.000, 0.000, 0.500) x2

***

15.
Nb3RePb | PBE | optimized geometry

Output
The value obtained for the energy above the most stable polymorph in this dataset is 0.0 kJ per mole of atoms. The calculation puts the total moment at 0.00 μB/f.u. The value obtained for the energy relative to the elements is 4.770 eV/f.u. The calculation puts the total energy at -41.60 eV/f.u. As for the density of states at the Fermi level: 4.9 states/eV/cell.

a b c (Å): 4.906 4.906 4.906
angles (deg): 90.00 90.00 90.00
Space group Pm-3m (No. 221)
One atom of each set of equivalent atoms:
Nb (0.000, 0.000, 0.500) x3
Re (0.000, 0.000, 0.000) x1
Pb (0.500, 0.500, 0.500) x1

***

16.
NbRePb3 | PBE | optimized geometry

Output
The value obtained for the energy above the most stable polymorph in this dataset is 25.2 kJ per mole of atoms. The calculation puts the total moment at 5.68 μB/f.u. The value obtained for the energy relative to the elements is 7.941 eV/f.u. The calculation puts the total energy at -25.70 eV/f.u. As for the density of states at the Fermi level: 2.8 states/eV/cell.

a b c (Å): 5.485 5.485 5.485
angles (deg): 90.00 90.00 90.00
Space group Pm-3m (No. 221)
One atom of each set of equivalent atoms:
Nb (0.000, 0.000, 0.000) x1
Re (0.500, 0.500, 0.500) x1
Pb (0.000, 0.000, 0.500) x3

***

17.
NbRe2Pb | PBE | optimized geometry

Output
The calculation puts the total moment at 0.00 μB/f.u. The value obtained for the energy relative to the elements is 4.155 eV/f.u. The calculation puts the total energy at -34.52 eV/f.u. As for the density of states at the Fermi level: 19.9 states/eV/cell.

a b c (Å): 4.062 4.062 19.557
angles (deg): 90.00 90.00 90.00
Space group I-42d (No. 122)
One atom of each set of equivalent atoms:
Nb (0.000, 0.000, 0.000) x4
Re (0.177, 0.250, 0.125) x8
Pb (0.000, 0.000, 0.500) x4

***

18.
NbRePb3 | PBE | optimized geometry

Output
The value obtained for the energy above the most stable polymorph in this dataset is 0.0 kJ per mole of atoms. The calculation puts the total moment at 5.21 μB/f.u. The value obtained for the energy relative to the elements is 6.635 eV/f.u. The calculation puts the total energy at -27.01 eV/f.u. As for the density of states at the Fermi level: 4.7 states/eV/cell.

a b c (Å): 5.334 5.334 5.334
angles (deg): 90.00 90.00 90.00
Space group Pm-3m (No. 221)
One atom of each set of equivalent atoms:
Nb (0.000, 0.000, 0.000) x1
Re (0.500, 0.500, 0.500) x1
Pb (0.000, 0.500, 0.500) x3

***

19.
NbReSb2Pb | PBE | optimized geometry

Output
The calculation puts the total moment at 1.04 μB/f.u. The calculation puts the total energy at -30.36 eV/f.u. As for the density of states at the Fermi level: 5.3 states/eV/cell. The value obtained for the uncorrected formation energy is 0.82 eV per atom.

a b c (Å): 5.146 5.146 5.102
angles (deg): 90.00 90.00 90.00
Space group P4/mmm (No. 123)
One atom of each set of equivalent atoms:
Nb (0.000, 0.000, 0.000) x1
Re (0.000, 0.000, 0.500) x1
Sb (0.000, 0.500, 0.500) x2
Pb (0.500, 0.500, 0.000) x1

***

20.
Nb3RhPb | PBE | optimized geometry

Output
The value obtained for the energy above the most stable polymorph in this dataset is 0.0 kJ per mole of atoms. The calculation puts the total moment at 0.00 μB/f.u. The value obtained for the energy relative to the elements is 4.102 eV/f.u. The calculation puts the total energy at -37.17 eV/f.u. As for the density of states at the Fermi level: 3.6 states/eV/cell.

a b c (Å): 4.863 4.863 4.863
angles (deg): 90.00 90.00 90.00
Space group Pm-3m (No. 221)
One atom of each set of equivalent atoms:
Nb (0.000, 0.000, 0.500) x3
Rh (0.000, 0.000, 0.000) x1
Pb (0.500, 0.500, 0.500) x1